# 1
Here is Ba2CoAgH6 after structural relaxation from the Alexandria database. Energies are from GGA-PBE.

Lattice parameters (Å, degrees): 5.1286 5.6008 5.6008 120.00 90.00 90.00
With the nearest neighbours (Å) after each atom.
Fractional coordinates of all 10 atoms:
Ba: 0.2279 0.3333 0.6667  9 H 2.78-2.82
Ba: 0.7721 0.6667 0.3333  9 H 2.78-2.82
Co: 0.0000 0.0000 0.0000  6 H 1.69
Ag: 0.5000 0.0000 0.0000  6 H 2.15
H: 0.8182 0.1449 0.2898  1 Co 1.69
H: 0.8182 0.1449 0.8551  1 Co 1.69
H: 0.8182 0.7102 0.8551  1 Co 1.69
H: 0.1818 0.8551 0.1449  1 Co 1.69
H: 0.1818 0.2898 0.1449  1 Co 1.69
H: 0.1818 0.8551 0.7102  1 Co 1.69

Results
Total DFT energy (no corrections) (eV/atom): -3.677


# 2
Here is BaInCo2Ag after structural relaxation from the Alexandria database. Energies are from GGA-PBE.

Lattice parameters (Å, degrees): 4.9915 5.8313 4.9915 90.00 90.00 90.00
With the nearest neighbours (Å) after each atom.
Fractional coordinates of all 5 atoms:
Co: 0.0000 0.0000 0.5000  2 Ag 2.50
Co: 0.5000 0.0000 0.0000  2 Ag 2.50
Ba: 0.0000 0.5000 0.0000  2 Ag 2.92
Ag: 0.0000 0.0000 0.0000  4 Co 2.50
In: 0.5000 0.5000 0.5000  4 Ba 3.53, 8 Co 3.84

Results
ΔE_f (eV per atom): 1.03
Total DFT energy (no corrections) (eV/atom): -3.318


# 3
Here is BaLa2CoAg after structural relaxation from the Alexandria database. Energies are from GGA-PBE.

Lattice parameters (Å, degrees): 5.2509 5.2509 5.5732 90.00 90.00 90.00
With the nearest neighbours (Å) after each atom.
Fractional coordinates of all 5 atoms:
Co: 0.0000 0.0000 0.0000  4 La 2.63, 2 Ag 2.79
Ba: 0.5000 0.5000 0.5000  4 Ag 3.71, 8 La 3.83
Ag: 0.0000 0.0000 0.5000  2 Co 2.79
La: 0.0000 0.5000 0.0000  2 Co 2.63
La: 0.5000 0.0000 0.0000  2 Co 2.63

Results
ΔE_f (eV per atom): 0.02
Total DFT energy (no corrections) (eV/atom): -4.329


no.,magnetic moment (μB/f.u.)
1,1.51
2,3.22
3,0.00